# Fe5O8F2 PBE+U relaxed
# DFT total energy = -181.23 eV per cell
# Energy relative to the lowest polymorph listed for this composition = 0.0774 eV/atom
# Density of states at the Fermi level = 0.30 states/eV per atom
# Theoretical density = 4.6 Mg/m³
data_Fe5O8F2
_cell_length_a 4.595
_cell_length_b 7.546
_cell_length_c 9.741
_cell_angle_alpha 70.88
_cell_angle_beta 86.69
_cell_angle_gamma 88.48
_space_group_name_H-M_alt 'P 1'
_space_group_IT_number 1
loop_
_space_group_symop_operation_xyz
'x,y,z'
loop_
_atom_site_label
_atom_site_type_symbol
_atom_site_fract_x
_atom_site_fract_y
_atom_site_fract_z
_atom_site_occupancy
Fe1 Fe 0.000 0.000 0.000 1
Fe2 Fe 0.004 0.600 0.197 1
Fe3 Fe 0.455 0.684 0.886 1
Fe4 Fe 0.459 0.483 0.485 1
Fe5 Fe 0.467 0.285 0.085 1
Fe6 Fe 0.484 0.892 0.294 1
Fe7 Fe 0.509 0.094 0.710 1
Fe8 Fe 0.973 0.186 0.388 1
Fe9 Fe 0.977 0.788 0.593 1
Fe10 Fe 0.992 0.385 0.800 1
O1 O 0.160 0.416 0.369 1
O2 O 0.160 0.624 0.768 1
O3 O 0.176 0.840 0.166 1
O4 O 0.203 0.226 0.976 1
O5 O 0.278 0.721 0.469 1
O6 O 0.284 0.139 0.264 1
O7 O 0.287 0.519 0.069 1
O8 O 0.287 0.927 0.879 1
O9 O 0.289 0.329 0.673 1
O10 O 0.673 0.645 0.316 1
O11 O 0.674 0.851 0.718 1
O12 O 0.675 0.446 0.917 1
O13 O 0.679 0.249 0.513 1
O14 O 0.688 0.061 0.115 1
O15 O 0.795 0.954 0.418 1
O16 O 0.814 0.153 0.827 1
F1 F 0.188 0.029 0.572 1
F2 F 0.764 0.354 0.203 1
F3 F 0.773 0.544 0.615 1
F4 F 0.792 0.761 0.016 1